Material: TaBePO
Method: DFT, PBE-GGA
State: optimized geometry Values from VASP.

polymorph energy (0 for the lowest one) = 432 meV/atom
SG = P4/nmm, No. 129
VASP energy = -7.25 eV/atom

```
&SYSTEM
  ibrav = 0, nat = 8, ntyp = 4
/
ATOMIC_SPECIES
Ta 180.95 Ta.upf
Be 9.01 Be.upf
P 30.97 P.upf
O 16.00 O.upf
CELL_PARAMETERS angstrom
3.758 0.000 0.000
0.000 3.758 0.000
0.000 0.000 8.645
ATOMIC_POSITIONS angstrom
Ta 0.939 2.818 0.000
Ta 2.818 0.939 0.000
Be 0.939 0.939 4.242
Be 2.818 2.818 4.403
P 0.939 0.939 1.619
P 2.818 2.818 7.026
O 0.939 2.818 4.323
O 2.818 0.939 4.323
```

=====

Material: TaBePO
Method: DFT, PBE-GGA
State: optimized geometry Values from VASP.

polymorph energy (0 for the lowest one) = 0 meV/atom
SG = Pmc2_1, No. 26
VASP energy = -7.68 eV/atom

```
&SYSTEM
  ibrav = 0, nat = 8, ntyp = 4
/
ATOMIC_SPECIES
Ta 180.95 Ta.upf
Be 9.01 Be.upf
P 30.97 P.upf
O 16.00 O.upf
CELL_PARAMETERS angstrom
2.939 0.000 0.000
0.000 6.055 0.000
0.000 0.000 5.706
ATOMIC_POSITIONS angstrom
Ta 0.000 0.003 0.000
Ta 0.000 6.052 2.853
Be 1.470 2.348 1.545
Be 1.470 3.706 4.399
P 1.470 1.556 4.281
P 1.470 4.499 1.428
O 0.000 1.710 1.435
O 0.000 4.345 4.288
```

=====

Material: BeTcPO
Method: DFT, PBE-GGA
State: optimized geometry Values from VASP.

polymorph energy (0 for the lowest one) = 98 meV/atom
SG = P4/nmm, No. 129
VASP energy = -7.08 eV/atom

```
&SYSTEM
  ibrav = 0, nat = 8, ntyp = 4
/
ATOMIC_SPECIES
Be 9.01 Be.upf
Tc 98.00 Tc.upf
P 30.97 P.upf
O 16.00 O.upf
CELL_PARAMETERS angstrom
3.540 0.000 0.000
0.000 3.540 0.000
0.000 0.000 8.744
ATOMIC_POSITIONS angstrom
Be 0.885 0.885 0.118
Be 2.655 2.655 8.626
Tc 0.885 2.655 4.372
Tc 2.655 0.885 4.372
P 0.885 0.885 2.695
P 2.655 2.655 6.049
O 0.885 2.655 0.000
O 2.655 0.885 0.000
```

=====

Material: BeTcPO
Method: DFT, PBE-GGA
State: optimized geometry Values from VASP.

polymorph energy (0 for the lowest one) = 889 meV/atom
SG = P4/nmm, No. 129
VASP energy = -6.29 eV/atom

```
&SYSTEM
  ibrav = 0, nat = 8, ntyp = 4
/
ATOMIC_SPECIES
Be 9.01 Be.upf
Tc 98.00 Tc.upf
P 30.97 P.upf
O 16.00 O.upf
CELL_PARAMETERS angstrom
3.343 0.000 0.000
0.000 3.343 0.000
0.000 0.000 7.851
ATOMIC_POSITIONS angstrom
Be 0.836 2.507 0.000
Be 2.507 0.836 0.000
Tc 0.836 0.836 2.605
Tc 2.507 2.507 5.246
P 0.836 0.836 6.397
P 2.507 2.507 1.454
O 0.836 2.507 3.926
O 2.507 0.836 3.926
```

=====

What is the formula in the third record?
BeTcPO

=====

What is the formula in the third record?
BeTcPO

=====

What is the formula in the fourth record?
BeTcPO